A relaxed structure of TiGaPd2. Source: Alexandria, functional PBE.

a = 2.938 Å, b = 2.938 Å, c = 7.097 Å
α = 90.00°, β = 90.00°, γ = 90.00°
Sites, in units of the cell vectors:
Pd: 0.000 0.000 0.766
Pd: 0.000 0.000 0.234
Ti: 0.500 0.500 0.500
Ga: 0.500 0.500 0.000

Properties
The value obtained for the raw total energy is -5.90 eV per atom. The value obtained for the calculated volume is 15.314 A^3/atom. The calculation puts the calculated formation energy at -570 meV/atom. As for the crystal system: tetragonal.


A relaxed structure of Ti2Ga2Pd3. Source: Alexandria, functional PBE.

a = 4.986 Å, b = 4.986 Å, c = 7.771 Å
α = 67.29°, β = 124.30°, γ = 136.42°
Sites, in units of the cell vectors:
Ga: 0.164 0.587 0.751
Ga: 0.836 0.413 0.249
Ti: 0.706 0.867 0.574
Ti: 0.294 0.133 0.426
Pd: 0.546 0.287 0.833
Pd: 0.454 0.713 0.167
Pd: 0.000 0.000 0.000

Properties
For the energy above the most stable polymorph in this dataset, the calculation gives 51 meV per atom. The value obtained for the raw total energy is -5.84 eV per atom. The value obtained for the calculated volume is 15.704 A^3/atom. The calculation puts the calculated formation energy at -491 meV/atom. As for the crystal system: triclinic.


A relaxed structure of Ti4GaPd2. Source: Alexandria, functional PBE.

a = 4.444 Å, b = 4.444 Å, c = 6.999 Å
α = 71.49°, β = 71.49°, γ = 60.00°
Sites, in units of the cell vectors:
Pd: 0.719 0.719 0.843
Pd: 0.281 0.281 0.157
Ti: 0.426 0.426 0.721
Ti: 0.574 0.574 0.279
Ti: 0.856 0.856 0.431
Ti: 0.144 0.144 0.569
Ga: 0.000 0.000 0.000

Properties
The value obtained for the raw total energy is -6.86 eV per atom. The value obtained for the calculated volume is 15.910 A^3/atom. The calculation puts the calculated formation energy at -432 meV/atom. As for the crystal system: trigonal.


A relaxed structure of Ti4Ga2Pd. Source: Alexandria, functional PBE.

a = 6.647 Å, b = 5.279 Å, c = 7.387 Å
α = 90.00°, β = 116.28°, γ = 90.00°
Sites, in units of the cell vectors:
Ti: 0.625 0.003 0.230
Ti: 0.064 0.750 0.419
Ti: 0.936 0.250 0.581
Ti: 0.031 0.250 0.264
Ti: 0.625 0.497 0.230
Ti: 0.375 0.997 0.770
Ti: 0.375 0.503 0.770
Ti: 0.969 0.750 0.736
Ga: 0.489 0.250 0.493
Ga: 0.511 0.750 0.507
Ga: 0.203 0.250 0.986
Ga: 0.797 0.750 0.014
Pd: 0.225 0.750 0.118
Pd: 0.775 0.250 0.882

Properties
The value obtained for the raw total energy is -6.42 eV per atom. The value obtained for the calculated volume is 16.602 A^3/atom. The calculation puts the calculated formation energy at -298 meV/atom. As for the crystal system: monoclinic.


A relaxed structure of TiGa3Pd. Source: Alexandria, functional PBE.

a = 4.709 Å, b = 4.709 Å, c = 4.709 Å
α = 90.00°, β = 90.00°, γ = 90.00°
Sites, in units of the cell vectors:
Ga: 0.000 0.000 0.500
Ga: 0.500 0.000 0.000
Ga: 0.000 0.500 0.000
Pd: 0.000 0.000 0.000
Ti: 0.500 0.500 0.500

Properties
For the energy above the most stable polymorph in this dataset, the calculation gives 0 meV per atom. The value obtained for the raw total energy is -4.14 eV per atom. The value obtained for the calculated volume is 20.886 A^3/atom. The calculation puts the calculated formation energy at 292 meV/atom. As for the crystal system: cubic.


A relaxed structure of TiGa2Pd. Source: Alexandria, functional PBE.

a = 4.444 Å, b = 4.444 Å, c = 4.444 Å
α = 60.00°, β = 60.00°, γ = 60.00°
Sites, in units of the cell vectors:
Ga: 0.750 0.750 0.750
Ga: 0.250 0.250 0.250
Pd: 0.500 0.500 0.500
Ti: 0.000 0.000 0.000

Properties
The value obtained for the raw total energy is -5.21 eV per atom. The value obtained for the calculated volume is 15.520 A^3/atom. The calculation puts the calculated formation energy at -429 meV/atom. As for the crystal system: cubic.


What is the raw total energy in the fifth record? -4.14 eV per atom


raw total energy of number 5 (TiGa3Pd)? -4.14 eV per atom


The highest calculated formation energy belongs to which entry? TiGa3Pd